[1]
DFT (PBE-GGA) results for Nd3PdO after structural relaxation.

extended XYZ file:
```
10
Lattice="3.825 -0.001 -0.001 0.000 7.651 -0.113 0.000 2.578 8.114" Properties=species:S:1:pos:R:3 pbc="T T T"
Pd 3.302 2.120 1.977
Pd 1.390 7.235 5.977
Nd 3.303 5.057 6.287
Nd 3.302 9.412 5.668
Nd 1.390 0.386 0.448
Nd 3.301 4.889 0.613
Nd 3.303 7.002 3.228
Nd 1.390 3.855 3.507
O 1.389 5.946 1.921
O 1.390 3.409 6.034
```

Values from the calculation:
The density of states at the Fermi level comes out at 0.740 states/eV per atom. Its uncorrected formation energy is -1.3078 eV per atom. The calculation puts the total energy at -31.0 eV per formula unit.

***

[2]
DFT (PBE-GGA) results for Nd2Pd2O7 after structural relaxation.

extended XYZ file:
```
22
Lattice="-5.269 0.969 5.136 -6.634 -3.220 -0.836 -1.969 -5.638 4.405" Properties=species:S:1:pos:R:3 pbc="T T T"
O -3.341 -1.668 -0.001
O -5.552 -1.262 2.154
O -5.968 -1.093 4.807
O -7.904 -6.797 3.898
O -4.053 -4.928 4.383
O -7.111 -4.366 7.364
O -10.404 -5.917 6.528
O -9.819 -2.962 4.322
O -4.167 -4.034 1.847
O -3.595 -2.277 4.353
O -6.761 -3.524 1.341
O -1.384 -2.683 2.198
O -2.768 0.089 2.505
O -6.936 -3.945 4.352
Nd -8.670 -4.931 5.440
Nd -6.036 -5.416 2.872
Nd -7.685 -2.112 3.238
Nd -5.353 -3.321 5.858
Pd -2.719 -3.805 3.291
Pd -1.734 -0.986 1.088
Pd -5.051 -2.596 0.670
Pd -4.368 -0.502 3.656
```

Values from the calculation:
Its uncorrected formation energy is -1.8040 eV per atom. The calculation puts the total energy at -74.5 eV per formula unit.

***

[3]
DFT (PBE-GGA) results for Nd6Pd2O after structural relaxation.

extended XYZ file:
```
18
Lattice="6.616 0.000 -0.078 0.000 7.268 0.000 0.211 0.000 10.091" Properties=species:S:1:pos:R:3 pbc="T T T"
O 3.308 3.634 -0.039
O 0.105 0.000 5.046
Nd 5.435 4.903 0.534
Nd 5.594 5.005 4.378
Nd 1.392 2.364 9.479
Nd 5.895 7.064 7.410
Nd 2.391 5.897 9.463
Nd 4.346 3.430 7.609
Nd 4.436 1.371 0.551
Nd 2.232 5.998 5.618
Nd 0.932 0.204 2.603
Nd 2.481 3.838 2.404
Nd 1.233 2.263 5.635
Nd 4.595 1.270 4.395
Pd 0.583 4.416 7.553
Pd 3.041 0.782 7.545
Pd 3.786 6.486 2.468
Pd 6.244 2.852 2.460
```

Values from the calculation:
The density of states at the Fermi level comes out at 0.980 states/eV per atom. Its uncorrected formation energy is -0.9565 eV per atom. The calculation puts the total energy at -52.6 eV per formula unit.

***

[4]
DFT (PBE-GGA) results for Nd5Pd2O12 after structural relaxation.

extended XYZ file:
```
19
Lattice="-4.676 -0.920 -3.789 6.426 -1.456 -2.686 -1.976 -6.145 3.931" Properties=species:S:1:pos:R:3 pbc="T T T"
O 0.826 -4.171 -2.463
O 2.043 -6.716 1.424
O -1.052 -4.350 -0.081
O -3.400 -4.812 -1.983
O -0.057 -1.369 -2.174
O 3.174 -3.709 -0.560
O -2.270 -1.805 -3.967
O -3.960 -5.507 1.332
O -0.170 -7.151 -0.370
O 3.733 -3.014 -3.876
O -0.346 -1.088 0.692
O 0.120 -7.433 -3.235
Pd -1.153 -0.227 -0.934
Pd -3.523 -0.693 -2.854
Nd -2.397 -6.345 -0.393
Nd -0.988 -3.072 1.965
Nd 2.171 -2.176 -2.151
Nd 1.210 -5.109 -0.253
Nd -1.436 -3.412 -2.290
```

Values from the calculation:
The density of states at the Fermi level comes out at 0.781 states/eV per atom. Its uncorrected formation energy is -2.3746 eV per atom. The calculation puts the total energy at -138.8 eV per formula unit.

***

[5]
DFT (PBE-GGA) results for PrNd2PdO5 after structural relaxation.

extended XYZ file:
```
18
Lattice="-3.937 -3.251 -3.124 -0.032 -4.586 4.813 -5.008 3.182 2.999" Properties=species:S:1:pos:R:3 pbc="T T T"
Pd -0.016 -2.293 2.406
Pd -2.504 1.591 1.500
Nd -5.322 -3.344 4.452
Nd -6.164 -0.506 2.560
Nd -2.813 -4.150 2.128
Nd -3.655 -1.311 0.235
O -7.192 -2.859 3.333
O -4.284 0.576 2.035
O -6.323 -1.108 0.416
O -1.785 -1.796 1.355
O -4.489 -2.328 2.344
O -1.969 -1.626 -1.562
O -3.825 -3.480 -0.264
O -5.152 -1.175 4.952
O -4.694 -5.232 2.653
O -2.654 -3.547 4.272
Pr -2.520 -0.702 3.906
Pr 0.000 0.000 0.000
```

Values from the calculation:
The density of states at the Fermi level comes out at 0.074 states/eV per atom. Its uncorrected formation energy is -2.4813 eV per atom. The calculation puts the total energy at -66.6 eV per formula unit.

***

[6]
DFT (PBE-GGA) results for NdPuPdO6 after structural relaxation.

extended XYZ file:
```
18
Lattice="-1.855 0.429 5.035 3.044 -4.214 -1.397 8.611 5.320 2.719" Properties=species:S:1:pos:R:3 pbc="T T T"
O 5.072 -0.812 0.094
O 4.942 -2.003 2.835
O 7.822 3.249 3.638
O 1.978 -1.714 2.719
O 6.265 0.963 4.102
O 4.728 2.347 6.263
O 3.581 -3.306 0.758
O 2.275 -0.755 -0.099
O 3.535 0.572 2.255
O 4.857 3.538 3.523
O 6.219 4.841 5.599
O 7.525 2.290 6.456
Pu 1.931 0.211 3.571
Pu 7.869 1.324 2.787
Pd 6.236 2.871 4.930
Pd 3.564 -1.336 1.427
Nd 4.305 2.660 1.360
Nd 0.000 0.000 0.000
```

Values from the calculation:
The density of states at the Fermi level comes out at 0.684 states/eV per atom. Its uncorrected formation energy is -2.1502 eV per atom. The calculation puts the total energy at -73.4 eV per formula unit.

***

[7]
DFT (PBE-GGA) results for Rb3Nd2PdO6 after structural relaxation.

extended XYZ file:
```
12
Lattice="-2.288 -3.920 -4.084 -0.603 -1.356 5.923 -4.708 5.076 -0.508" Properties=species:S:1:pos:R:3 pbc="T T T"
O -6.442 -0.321 -0.497
O -3.040 -2.710 1.206
O -4.558 2.509 0.125
O -1.157 0.121 1.827
O -5.930 0.458 2.545
O -1.669 -0.659 -1.214
Nd -1.167 -2.215 2.573
Nd -1.724 -3.062 -0.735
Rb -3.799 -0.100 0.665
Rb -3.232 0.764 4.038
Rb -4.367 -0.965 -2.708
Pd 0.000 0.000 0.000
```

Values from the calculation:
Its uncorrected formation energy is -1.8728 eV per atom. The calculation puts the total energy at -69.9 eV per formula unit.

***

[8]
DFT (PBE-GGA) results for RbNd2PdO4 after structural relaxation.

extended XYZ file:
```
16
Lattice="-1.951 1.719 -2.444 -4.013 -4.091 2.932 -2.877 9.011 8.635" Properties=species:S:1:pos:R:3 pbc="T T T"
O -1.438 4.506 4.317
O -2.360 2.682 1.165
O 0.000 0.000 0.000
O -6.482 3.957 7.958
O -5.108 4.614 4.718
O -2.821 -0.833 1.666
O -6.021 7.472 7.457
O -3.733 2.025 4.405
Nd -3.576 3.991 3.057
Nd -6.375 6.124 9.397
Nd -2.467 0.515 -0.274
Nd -5.265 2.648 6.066
Pd -6.531 5.417 6.419
Pd -2.310 1.222 2.704
Rb -3.239 6.058 6.847
Rb -5.602 0.581 2.276
```

Values from the calculation:
The density of states at the Fermi level comes out at 0.373 states/eV per atom. Its uncorrected formation energy is -2.1625 eV per atom. The calculation puts the total energy at -52.8 eV per formula unit.